# Li4Pd5

A relaxed structure of Li4Pd5 (GGA-PBE, Alexandria).

Structure (CIF):
```
data_Li4Pd5
_chemical_formula_sum 'Li4 Pd5'
_space_group_name_H-M_alt 'P 1'
_space_group_IT_number 1
_cell_length_a 6.136
_cell_length_b 6.136
_cell_length_c 6.136
_cell_angle_alpha 95.98
_cell_angle_beta 95.98
_cell_angle_gamma 142.33
loop_
_space_group_symop_operation_xyz
'x,y,z'
loop_
_atom_site_label
_atom_site_fract_x
_atom_site_fract_y
_atom_site_fract_z
_atom_site_occupancy
Li1 0.000 0.310 0.310 1
Li2 0.000 0.690 0.690 1
Li3 0.310 0.000 0.310 1
Li4 0.690 0.000 0.690 1
Pd1 0.000 0.000 0.000 1
Pd2 0.330 0.330 0.660 1
Pd3 0.330 0.670 0.000 1
Pd4 0.670 0.330 0.000 1
Pd5 0.670 0.670 0.340 1
```

Summary:
**ρ**: 7.0 g/cm3
**Distance to the lowest polymorph of the same formula**: 0.000 eV per atom
**ΔE_f**: -0.339 eV per atom

---

# Ba3PrPa2As6

A relaxed structure of Ba3PrPa2As6 (GGA-PBE, Alexandria).

Structure (CIF):
```
data_Ba3PrPa2As6
_chemical_formula_sum 'Ba3 Pr1 Pa2 As6'
_space_group_name_H-M_alt 'P 1'
_space_group_IT_number 1
_cell_length_a 7.550
_cell_length_b 7.550
_cell_length_c 7.908
_cell_angle_alpha 99.16
_cell_angle_beta 99.16
_cell_angle_gamma 119.98
loop_
_space_group_symop_operation_xyz
'x,y,z'
loop_
_atom_site_label
_atom_site_fract_x
_atom_site_fract_y
_atom_site_fract_z
_atom_site_occupancy
Ba1 0.000 0.000 0.000 1
Ba2 0.337 0.663 0.000 1
Ba3 0.663 0.337 0.000 1
Pr1 0.500 0.500 0.500 1
Pa1 0.167 0.833 0.500 1
Pa2 0.833 0.167 0.500 1
As1 0.081 0.431 0.294 1
As2 0.218 0.218 0.704 1
As3 0.431 0.081 0.294 1
As4 0.569 0.919 0.706 1
As5 0.782 0.782 0.296 1
As6 0.919 0.569 0.706 1
```

Summary:
**ρ**: 6.6 g/cm3
**ΔE_f**: -1.195 eV per atom

---

# DyNiRhAu

A relaxed structure of DyNiRhAu (GGA-PBE, Alexandria).

Structure (CIF):
```
data_DyNiRhAu
_chemical_formula_sum 'Dy4 Ni4 Rh4 Au4'
_space_group_name_H-M_alt 'P 1'
_space_group_IT_number 1
_cell_length_a 6.500
_cell_length_b 6.500
_cell_length_c 6.500
_cell_angle_alpha 90.00
_cell_angle_beta 90.00
_cell_angle_gamma 90.00
loop_
_space_group_symop_operation_xyz
'x,y,z'
loop_
_atom_site_label
_atom_site_fract_x
_atom_site_fract_y
_atom_site_fract_z
_atom_site_occupancy
Dy1 0.000 0.000 0.000 1
Dy2 0.000 0.500 0.500 1
Dy3 0.500 0.000 0.500 1
Dy4 0.500 0.500 0.000 1
Ni1 0.250 0.250 0.250 1
Ni2 0.250 0.750 0.750 1
Ni3 0.750 0.250 0.750 1
Ni4 0.750 0.750 0.250 1
Rh1 0.250 0.250 0.750 1
Rh2 0.250 0.750 0.250 1
Rh3 0.750 0.250 0.250 1
Rh4 0.750 0.750 0.750 1
Au1 0.000 0.000 0.500 1
Au2 0.000 0.500 0.000 1
Au3 0.500 0.000 0.000 1
Au4 0.500 0.500 0.500 1
```

Summary:
**ρ**: 12.6 g/cm3
**ΔE_f**: -0.401 eV per atom

---

# Tb3Zn2Rh7

A relaxed structure of Tb3Zn2Rh7 (GGA-PBE, Alexandria).

Structure (CIF):
```
data_Tb3Zn2Rh7
_chemical_formula_sum 'Tb3 Zn2 Rh7'
_space_group_name_H-M_alt 'P 1'
_space_group_IT_number 1
_cell_length_a 8.886
_cell_length_b 8.886
_cell_length_c 8.886
_cell_angle_alpha 35.35
_cell_angle_beta 35.35
_cell_angle_gamma 35.35
loop_
_space_group_symop_operation_xyz
'x,y,z'
loop_
_atom_site_label
_atom_site_fract_x
_atom_site_fract_y
_atom_site_fract_z
_atom_site_occupancy
Tb1 0.000 0.000 0.000 1
Tb2 0.140 0.140 0.140 1
Tb3 0.860 0.860 0.860 1
Zn1 0.334 0.334 0.334 1
Zn2 0.666 0.666 0.666 1
Rh1 0.078 0.585 0.585 1
Rh2 0.415 0.415 0.922 1
Rh3 0.415 0.922 0.415 1
Rh4 0.500 0.500 0.500 1
Rh5 0.585 0.078 0.585 1
Rh6 0.585 0.585 0.078 1
Rh7 0.922 0.415 0.415 1
```

Summary:
**ρ**: 10.5 g/cm3
**ΔE_f**: -0.643 eV per atom

---

# BaCd3I

A relaxed structure of BaCd3I (GGA-PBE, Alexandria).

Structure (CIF):
```
data_BaCd3I
_chemical_formula_sum 'Ba1 Cd3 I1'
_space_group_name_H-M_alt 'P 1'
_space_group_IT_number 1
_cell_length_a 6.162
_cell_length_b 6.162
_cell_length_c 6.162
_cell_angle_alpha 90.00
_cell_angle_beta 90.00
_cell_angle_gamma 90.00
loop_
_space_group_symop_operation_xyz
'x,y,z'
loop_
_atom_site_label
_atom_site_fract_x
_atom_site_fract_y
_atom_site_fract_z
_atom_site_occupancy
Ba1 0.000 0.000 0.000 1
Cd1 0.000 0.500 0.500 1
Cd2 0.500 0.000 0.500 1
Cd3 0.500 0.500 0.000 1
I1 0.500 0.500 0.500 1
```

Summary:
**ρ**: 4.3 g/cm3
**Distance to the lowest polymorph of the same formula**: 0.000 eV per atom
**E_form (uncorrected)**: 1.13 eV/f.u.

---

# ScSi2Ni2Ir

A relaxed structure of ScSi2Ni2Ir (GGA-PBE, Alexandria).

Structure (CIF):
```
data_ScSi2Ni2Ir
_chemical_formula_sum 'Sc1 Si2 Ni2 Ir1'
_space_group_name_H-M_alt 'P 1'
_space_group_IT_number 1
_cell_length_a 4.508
_cell_length_b 4.508
_cell_length_c 5.098
_cell_angle_alpha 90.00
_cell_angle_beta 90.00
_cell_angle_gamma 90.00
loop_
_space_group_symop_operation_xyz
'x,y,z'
loop_
_atom_site_label
_atom_site_fract_x
_atom_site_fract_y
_atom_site_fract_z
_atom_site_occupancy
Sc1 0.000 0.000 0.000 1
Si1 0.000 0.500 0.500 1
Si2 0.500 0.000 0.500 1
Ni1 0.500 0.500 0.250 1
Ni2 0.500 0.500 0.750 1
Ir1 0.000 0.000 0.500 1
```

Summary:
**ρ**: 6.6 g/cm3
**E_form (uncorrected)**: -0.24 eV/f.u.

---

# Ac5Ga5Rh2

A relaxed structure of Ac5Ga5Rh2 (GGA-PBE, Alexandria).

Structure (CIF):
```
data_Ac5Ga5Rh2
_chemical_formula_sum 'Ac5 Ga5 Rh2'
_space_group_name_H-M_alt 'P 1'
_space_group_IT_number 1
_cell_length_a 8.414
_cell_length_b 8.414
_cell_length_c 12.002
_cell_angle_alpha 127.73
_cell_angle_beta 127.73
_cell_angle_gamma 30.70
loop_
_space_group_symop_operation_xyz
'x,y,z'
loop_
_atom_site_label
_atom_site_fract_x
_atom_site_fract_y
_atom_site_fract_z
_atom_site_occupancy
Ac1 0.000 0.000 0.000 1
Ac2 0.301 0.301 0.416 1
Ac3 0.377 0.377 0.178 1
Ac4 0.623 0.623 0.822 1
Ac5 0.699 0.699 0.584 1
Ga1 0.000 0.000 0.500 1
Ga2 0.063 0.063 0.324 1
Ga3 0.292 0.292 0.844 1
Ga4 0.708 0.708 0.156 1
Ga5 0.937 0.937 0.676 1
Rh1 0.389 0.389 0.735 1
Rh2 0.611 0.611 0.265 1
```

Summary:
**ρ**: 8.4 g/cm3
**ΔE_f**: -0.566 eV per atom

---

# NbVGaCo2

A relaxed structure of NbVGaCo2 (GGA-PBE, Alexandria).

Structure (CIF):
```
data_NbVGaCo2
_chemical_formula_sum 'Nb1 V1 Ga1 Co2'
_space_group_name_H-M_alt 'P 1'
_space_group_IT_number 1
_cell_length_a 4.375
_cell_length_b 4.375
_cell_length_c 4.875
_cell_angle_alpha 90.00
_cell_angle_beta 90.00
_cell_angle_gamma 90.00
loop_
_space_group_symop_operation_xyz
'x,y,z'
loop_
_atom_site_label
_atom_site_fract_x
_atom_site_fract_y
_atom_site_fract_z
_atom_site_occupancy
Nb1 0.000 0.000 0.000 1
V1 0.500 0.500 0.500 1
Ga1 0.000 0.000 0.500 1
Co1 0.000 0.500 0.000 1
Co2 0.500 0.000 0.000 1
```

Summary:
**ρ**: 5.9 g/cm3
**ΔE_f**: 1.441 eV per atom

---

# CaBeZn2

A relaxed structure of CaBeZn2 (GGA-PBE, Alexandria).

Structure (CIF):
```
data_CaBeZn2
_chemical_formula_sum 'Ca4 Be4 Zn8'
_space_group_name_H-M_alt 'P 1'
_space_group_IT_number 1
_cell_length_a 6.480
_cell_length_b 6.480
_cell_length_c 6.480
_cell_angle_alpha 90.00
_cell_angle_beta 90.00
_cell_angle_gamma 90.00
loop_
_space_group_symop_operation_xyz
'x,y,z'
loop_
_atom_site_label
_atom_site_fract_x
_atom_site_fract_y
_atom_site_fract_z
_atom_site_occupancy
Ca1 0.000 0.000 0.000 1
Ca2 0.000 0.500 0.500 1
Ca3 0.500 0.000 0.500 1
Ca4 0.500 0.500 0.000 1
Be1 0.250 0.250 0.750 1
Be2 0.250 0.750 0.250 1
Be3 0.750 0.250 0.250 1
Be4 0.750 0.750 0.750 1
Zn1 0.000 0.000 0.500 1
Zn2 0.000 0.500 0.000 1
Zn3 0.250 0.250 0.250 1
Zn4 0.250 0.750 0.750 1
Zn5 0.500 0.000 0.000 1
Zn6 0.500 0.500 0.500 1
Zn7 0.750 0.250 0.750 1
Zn8 0.750 0.750 0.250 1
```

Summary:
**ρ**: 4.4 g/cm3
**ΔE_f**: 0.109 eV per atom

---

# CaPm2Sc

A relaxed structure of CaPm2Sc (GGA-PBE, Alexandria).

Structure (CIF):
```
data_CaPm2Sc
_chemical_formula_sum 'Ca1 Pm2 Sc1'
_space_group_name_H-M_alt 'P 1'
_space_group_IT_number 1
_cell_length_a 3.899
_cell_length_b 3.899
_cell_length_c 8.906
_cell_angle_alpha 90.00
_cell_angle_beta 90.00
_cell_angle_gamma 90.00
loop_
_space_group_symop_operation_xyz
'x,y,z'
loop_
_atom_site_label
_atom_site_fract_x
_atom_site_fract_y
_atom_site_fract_z
_atom_site_occupancy
Ca1 0.000 0.000 0.000 1
Pm1 0.500 0.500 0.291 1
Pm2 0.500 0.500 0.709 1
Sc1 0.000 0.000 0.500 1
```

Summary:
**ρ**: 4.6 g/cm3
**Distance to the lowest polymorph of the same formula**: 0.000 eV per atom
**ΔE_f**: 0.064 eV per atom